First-principles (PBE+U) data for a relaxed structure of HfHg2MoO, as listed in the Alexandria database.

Calculated values
The calculation puts the final energy at -23.57 eV for the cell shown. As for the magnetization: 4.8 μB/cell. The space-group type is P4/mmm. Its density is 8.8 g/cm³.

The structure in POSCAR format:
```
HfHg2MoO
1.0
5.7576 0.0000 0.0000
0.0000 5.7576 0.0000
0.0000 0.0000 3.9175
Hf Hg Mo O
1 2 1 1
Direct
0.0000 0.0000 0.0000
0.0000 0.5000 0.0000
0.5000 0.0000 0.0000
0.5000 0.5000 0.5000
0.0000 0.0000 0.5000
```